{
  "formula": "PrAg8Sn3",
  "functional": "PBE",
  "state": "optimized geometry",
  "dos_ef_per_ev_cell": 3.55,
  "vol_a3_per_cell": 257.58,
  "formation_enthalpy_0k_mev_per_atom": -75,
  "crystal_system": "trigonal",
  "lattice_angstrom": [[5.7117, 0.0000, 0.0000], [-2.8559, 4.9465, 0.0000], [0.0000, 0.0000, 9.1170]],
  "species": ["Pr", "Ag", "Ag", "Ag", "Ag", "Ag", "Ag", "Ag", "Ag", "Sn", "Sn", "Sn"],
  "frac_coords": [[0.0000, 0.0000, 0.5699], [0.3333, 0.6667, 0.4999], [0.3333, 0.6667, 0.0015], [0.5027, 0.0054, 0.7539], [0.5027, 0.4973, 0.7539], [0.9946, 0.4973, 0.7539], [0.1636, 0.3273, 0.2469], [0.1636, 0.8364, 0.2469], [0.6727, 0.8364, 0.2469], [0.6667, 0.3333, 0.4282], [0.6667, 0.3333, 0.0469], [0.0000, 0.0000, 0.9511]]
}